No. 1
Here is a geometry-optimized KDyBi structure from OQMD. Energies are from PBE-GGA.

Results
As for the symmetry: F-43m. As for the calculated total energy: -2.80 eV per atom.

abc: 5.4398 5.4398 5.4398
angles: 60.00 60.00 60.00
Positions (direct):
K1 0.0000 0.0000 0.0000
Dy1 0.2500 0.2500 0.2500
Bi1 0.7500 0.7500 0.7500

=====

No. 2
Here is a geometry-optimized LaDyBi structure from OQMD. Energies are from PBE-GGA.

Results
As for the symmetry: F-43m. As for the calculated total energy: -4.92 eV per atom.

abc: 5.3021 5.3021 5.3021
angles: 60.00 60.00 60.00
Positions (direct):
La1 0.0000 0.0000 0.0000
Dy1 0.5000 0.5000 0.5000
Bi1 0.7500 0.7500 0.7500

=====

No. 3
Here is a geometry-optimized La2DyBi3 structure from OQMD. Energies are from PBE-GGA.

Results
As for the symmetry: P-3m1. As for the calculated total energy: -5.43 eV per atom.

abc: 4.6022 4.6022 11.3068
angles: 90.00 90.00 120.00
Positions (direct):
La1 0.3333 0.6667 0.3275
La2 0.6667 0.3333 0.6725
Dy1 0.0000 0.0000 0.0000
Bi1 0.0000 0.0000 0.5000
Bi2 0.3333 0.6667 0.8443
Bi3 0.6667 0.3333 0.1557

=====

No. 4
Here is a geometry-optimized LaDy2Bi3 structure from OQMD. Energies are from PBE-GGA.

Results
As for the symmetry: P-3m1. As for the calculated total energy: -5.31 eV per atom.

abc: 4.5366 4.5366 11.0804
angles: 90.00 90.00 120.00
Positions (direct):
La1 0.0000 0.0000 0.0000
Dy1 0.3333 0.6667 0.3373
Dy2 0.6667 0.3333 0.6627
Bi1 0.0000 0.0000 0.5000
Bi2 0.3333 0.6667 0.8226
Bi3 0.6667 0.3333 0.1774

=====

No. 5
Here is a geometry-optimized Li4DyBiO6 structure from OQMD. Energies are from PBE-GGA.

Results
As for the symmetry: C2. As for the calculated total energy: -5.81 eV per atom.

abc: 5.5230 5.5230 5.2841
angles: 99.61 99.61 120.34
Positions (direct):
Li1 0.0000 0.0000 0.0000
Li2 0.3768 0.6232 0.0000
Li3 0.6970 0.3030 0.0000
Li4 0.8568 0.1432 0.5000
Dy1 0.1902 0.8098 0.5000
Bi1 0.5240 0.4760 0.5000
O1 0.1253 0.3954 0.2505
O2 0.2807 0.2398 0.7423
O3 0.4482 0.0841 0.2529
O4 0.6046 0.8747 0.7495
O5 0.7602 0.7193 0.2577
O6 0.9159 0.5518 0.7471

=====

No. 6
Here is a geometry-optimized DyLuBi structure from OQMD. Energies are from PBE-GGA.

Results
As for the symmetry: F-43m. As for the calculated total energy: -4.58 eV per atom.

abc: 5.1150 5.1150 5.1150
angles: 60.00 60.00 60.00
Positions (direct):
Dy1 0.0000 0.0000 0.0000
Lu1 0.5000 0.5000 0.5000
Bi1 0.2500 0.2500 0.2500

=====

No. 7
Here is a geometry-optimized Dy2LuBi3 structure from OQMD. Energies are from PBE-GGA.

Results
As for the symmetry: P-3m1. As for the calculated total energy: -5.14 eV per atom.

abc: 4.4324 4.4324 10.8855
angles: 90.00 90.00 120.00
Positions (direct):
Dy1 0.3333 0.6667 0.3330
Dy2 0.6667 0.3333 0.6670
Lu1 0.0000 0.0000 0.0000
Bi1 0.0000 0.0000 0.5000
Bi2 0.3333 0.6667 0.8357
Bi3 0.6667 0.3333 0.1643

=====

No. 8
Here is a geometry-optimized Dy3Lu3Bi2Os structure from OQMD. Energies are from PBE-GGA.

Results
The value obtained for the energy above the lowest structure with this stoichiometry is 0.095 eV/atom. As for the symmetry: P-62m. As for the calculated total energy: -5.68 eV per atom.

abc: 8.2339 8.2339 4.2014
angles: 90.00 90.00 120.00
Positions (direct):
Dy1 0.0000 0.2373 0.0000
Dy2 0.2373 0.0000 0.0000
Dy3 0.7627 0.7627 0.0000
Lu1 0.0000 0.6189 0.5000
Lu2 0.3811 0.3811 0.5000
Lu3 0.6189 0.0000 0.5000
Bi1 0.3333 0.6667 0.0000
Bi2 0.6667 0.3333 0.0000
Os1 0.0000 0.0000 0.5000

=====

No. 9
Here is a geometry-optimized Dy3Lu3Bi2Os structure from OQMD. Energies are from PBE-GGA.

Results
The value obtained for the energy above the lowest structure with this stoichiometry is 0.000 eV/atom. As for the symmetry: P-62m. As for the calculated total energy: -5.78 eV per atom.

abc: 8.1826 8.1826 4.2320
angles: 90.00 90.00 120.00
Positions (direct):
Dy1 0.0000 0.6145 0.0000
Dy2 0.3855 0.3855 0.0000
Dy3 0.6145 0.0000 0.0000
Lu1 0.0000 0.2303 0.5000
Lu2 0.2303 0.0000 0.5000
Lu3 0.7697 0.7697 0.5000
Bi1 0.3333 0.6667 0.5000
Bi2 0.6667 0.3333 0.5000
Os1 0.0000 0.0000 0.0000

=====

No. 10
Here is a geometry-optimized Dy3Lu3BiSbOs structure from OQMD. Energies are from PBE-GGA.

Results
As for the symmetry: P-6. As for the calculated total energy: -5.85 eV per atom.

abc: 8.1411 8.1411 4.2208
angles: 90.00 90.00 120.00
Positions (direct):
Dy1 0.0064 0.6142 0.0000
Dy2 0.3858 0.3922 0.0000
Dy3 0.6078 0.9936 0.0000
Lu1 0.0015 0.2317 0.5000
Lu2 0.2303 0.9985 0.5000
Lu3 0.7683 0.7697 0.5000
Bi1 0.6667 0.3333 0.5000
Sb1 0.3333 0.6667 0.5000
Os1 0.0000 0.0000 0.0000

=====

No. 11
Here is a geometry-optimized DyLu3Sc2Bi2Os structure from OQMD. Energies are from PBE-GGA.

Results
As for the symmetry: Amm2. As for the calculated total energy: -6.10 eV per atom.

abc: 4.1381 8.0958 8.0958
angles: 120.44 90.00 90.00
Positions (direct):
Dy1 0.0000 0.0000 0.0000
Lu1 0.5000 0.1570 0.3904
Lu2 0.5000 0.3904 0.1570
Lu3 0.5000 0.6284 0.6284
Sc1 0.0000 0.3880 0.7669
Sc2 0.0000 0.7669 0.3880
Bi1 0.5000 0.0577 0.7150
Bi2 0.5000 0.7150 0.0577
Os1 0.0000 0.3963 0.3963

=====

No. 12
Here is a geometry-optimized Dy3Lu2ScBi2Os structure from OQMD. Energies are from PBE-GGA.

Results
As for the symmetry: Amm2. As for the calculated total energy: -5.99 eV per atom.

abc: 4.2258 8.1315 8.1315
angles: 120.12 90.00 90.00
Positions (direct):
Dy1 0.0000 0.0000 0.0000
Dy2 0.0000 0.2232 0.6068
Dy3 0.0000 0.6068 0.2232
Lu1 0.5000 0.6084 0.8363
Lu2 0.5000 0.8363 0.6084
Sc1 0.5000 0.3814 0.3814
Bi1 0.5000 0.2757 0.9457
Bi2 0.5000 0.9457 0.2757
Os1 0.0000 0.5980 0.5980

=====

No. 13
Here is a geometry-optimized Dy3Lu3BiTeOs structure from OQMD. Energies are from PBE-GGA.

Results
As for the symmetry: P-6. As for the calculated total energy: -5.76 eV per atom.

abc: 8.1938 8.1938 4.1487
angles: 90.00 90.00 120.00
Positions (direct):
Dy1 0.0017 0.6152 0.0000
Dy2 0.3848 0.3865 0.0000
Dy3 0.6135 0.9983 0.0000
Lu1 0.0010 0.2329 0.5000
Lu2 0.2319 0.9990 0.5000
Lu3 0.7671 0.7681 0.5000
Bi1 0.6667 0.3333 0.5000
Te1 0.3333 0.6667 0.5000
Os1 0.0000 0.0000 0.0000

=====

No. 14
Here is a geometry-optimized DyTm3Lu2Bi2Os structure from OQMD. Energies are from PBE-GGA.

Results
As for the symmetry: Amm2. As for the calculated total energy: -5.70 eV per atom.

abc: 4.2062 8.1839 8.1839
angles: 120.08 90.00 90.00
Positions (direct):
Dy1 0.0000 0.0000 0.0000
Tm1 0.5000 0.2356 0.8525
Tm2 0.5000 0.6150 0.6150
Tm3 0.5000 0.8525 0.2356
Lu1 0.0000 0.2348 0.4677
Lu2 0.0000 0.4677 0.2348
Bi1 0.0000 0.5654 0.9011
Bi2 0.0000 0.9011 0.5654
Os1 0.5000 0.2403 0.2403

=====

No. 15
Here is a geometry-optimized Dy3TmLu2Bi2Os structure from OQMD. Energies are from PBE-GGA.

Results
As for the symmetry: Amm2. As for the calculated total energy: -5.77 eV per atom.

abc: 4.2395 8.2003 8.2003
angles: 119.99 90.00 90.00
Positions (direct):
Dy1 0.0000 0.0000 0.0000
Dy2 0.0000 0.2288 0.6145
Dy3 0.0000 0.6145 0.2288
Tm1 0.5000 0.3839 0.3839
Lu1 0.5000 0.6145 0.8448
Lu2 0.5000 0.8448 0.6145
Bi1 0.5000 0.2811 0.9477
Bi2 0.5000 0.9477 0.2811
Os1 0.0000 0.6148 0.6148

=====

No. 16
Here is a geometry-optimized Dy3Tm2LuBi2Os structure from OQMD. Energies are from PBE-GGA.

Results
As for the symmetry: Amm2. As for the calculated total energy: -5.76 eV per atom.

abc: 4.2437 8.2112 8.2112
angles: 120.01 90.00 90.00
Positions (direct):
Dy1 0.0000 0.0000 0.0000
Dy2 0.0000 0.3858 0.7715
Dy3 0.0000 0.7715 0.3858
Tm1 0.5000 0.1552 0.3858
Tm2 0.5000 0.3858 0.1552
Lu1 0.5000 0.6162 0.6162
Bi1 0.5000 0.0523 0.7191
Bi2 0.5000 0.7191 0.0523
Os1 0.0000 0.3862 0.3862

=====

No. 17
Here is a geometry-optimized Dy2Tm3LuBi2Os structure from OQMD. Energies are from PBE-GGA.

Results
As for the symmetry: Amm2. As for the calculated total energy: -5.70 eV per atom.

abc: 4.2173 8.2011 8.2011
angles: 119.65 90.00 90.00
Positions (direct):
Dy1 0.0000 0.1165 0.8835
Dy2 0.0000 0.8835 0.1165
Tm1 0.5000 0.1172 0.5001
Tm2 0.5000 0.5001 0.1172
Tm3 0.5000 0.7285 0.7285
Lu1 0.0000 0.3525 0.3525
Bi1 0.0000 0.4512 0.7810
Bi2 0.0000 0.7810 0.4512
Os1 0.5000 0.1292 0.1292

=====

No. 18
Here is a geometry-optimized Dy3YLu2Bi2Os structure from OQMD. Energies are from PBE-GGA.

Results
As for the symmetry: Amm2. As for the calculated total energy: -5.98 eV per atom.

abc: 4.2423 8.2407 8.2407
angles: 120.14 90.00 90.00
Positions (direct):
Dy1 0.0000 0.0000 0.0000
Dy2 0.0000 0.2277 0.6167
Dy3 0.0000 0.6167 0.2277
Y1 0.5000 0.3838 0.3838
Lu1 0.5000 0.6159 0.8470
Lu2 0.5000 0.8470 0.6159
Bi1 0.5000 0.2831 0.9466
Bi2 0.5000 0.9466 0.2831
Os1 0.0000 0.6245 0.6245

=====

No. 19
Here is a geometry-optimized DyBiMo structure from OQMD. Energies are from PBE-GGA.

Results
As for the symmetry: F-43m. As for the calculated total energy: -6.02 eV per atom.

abc: 4.8014 4.8014 4.8014
angles: 60.00 60.00 60.00
Positions (direct):
Dy1 0.0000 0.0000 0.0000
Bi1 0.5000 0.5000 0.5000
Mo1 0.7500 0.7500 0.7500

=====

No. 20
Here is a geometry-optimized Dy3BiN2 structure from OQMD. Energies are from PBE-GGA.

Results
As for the symmetry: P-3m1. As for the calculated total energy: -7.08 eV per atom.

abc: 3.5427 3.5427 10.4585
angles: 90.00 90.00 120.00
Positions (direct):
Dy1 0.0000 0.0000 0.0000
Dy2 0.3333 0.6667 0.7456
Dy3 0.6667 0.3333 0.2544
Bi1 0.0000 0.0000 0.5000
N1 0.3333 0.6667 0.1407
N2 0.6667 0.3333 0.8593